Entry 1:
# Li13Ti28O56

A relaxed structure of Li13Ti28O56 (PBE, Alexandria).

Lattice parameters (Å, degrees): 10.3653 10.3653 10.3653 99.57 99.57 99.57
Closest atoms and distances in Å follow each position.
Sites, in units of the cell vectors:
1 O 0.7661 0.3875 0.1806  3 Ti 2.01-2.04, 1 Li 2.02
2 O 0.6722 0.7516 0.9093  1 Li 2.01, 3 Ti 2.01-2.02
3 O 0.9093 0.6722 0.7516  1 Li 2.01, 3 Ti 2.01-2.02
4 O 0.0375 0.4795 0.8159  3 Ti 2.01-2.04, 1 Li 2.04
5 O 0.1806 0.7661 0.3875  3 Ti 2.01-2.04, 1 Li 2.02
6 O 0.8336 0.5473 0.9771  1 Li 2.01, 3 Ti 2.01-2.02
7 O 0.8798 0.1657 0.7364  3 Ti 2.01, 1 Li 2.02
8 O 0.3875 0.1806 0.7661  3 Ti 2.01-2.04, 1 Li 2.02
9 O 0.5306 0.4665 0.3381  3 Ti 2.01-2.02, 1 Li 2.02
10 O 0.2489 0.3777 0.1847  1 Li 2.01, 3 Ti 2.01-2.02
11 O 0.4518 0.3090 0.0228  3 Ti 2.01-2.04, 1 Li 2.02
12 O 0.0911 0.6117 0.1058  1 Li 2.01, 3 Ti 2.02
13 O 0.3908 0.6623 0.7557  3 Ti 2.01-2.02, 1 Li 2.02
14 O 0.8159 0.0375 0.4795  3 Ti 2.01-2.04, 1 Li 2.04
15 O 0.5951 0.5951 0.5951  3 Ti 2.01, 1 Li 2.04
16 O 0.5335 0.9479 0.3266  3 Ti 2.01-2.02, 1 Li 2.02
17 O 0.6764 0.2344 0.8980  3 Ti 2.01-2.02, 1 Li 2.01
18 O 0.8199 0.5197 0.4703  3 Ti 2.01-2.02, 1 Li 2.02
19 O 0.0525 0.9586 0.3235  1 Li 2.01, 3 Ti 2.01-2.02
20 O 0.8945 0.1953 0.2448  3 Ti 2.01-2.02, 1 Li 2.01
21 O 0.0428 0.9618 0.7998  3 Ti 1.96-1.97
22 O 0.8980 0.6764 0.2344  3 Ti 2.01-2.02, 1 Li 2.01
23 O 0.4054 0.6912 0.2630  3 Ti 2.01-2.02, 1 Li 2.02
24 O 0.3266 0.5335 0.9479  3 Ti 2.01-2.02, 1 Li 2.02
25 O 0.7557 0.3908 0.6623  3 Ti 2.01-2.02, 1 Li 2.02
26 O 0.1953 0.2448 0.8945  3 Ti 2.01-2.02, 1 Li 2.01
27 O 0.3381 0.5306 0.4665  3 Ti 2.01-2.02, 1 Li 2.02
28 O 0.0228 0.4518 0.3090  3 Ti 2.01-2.04, 1 Li 2.02
29 O 0.1657 0.7364 0.8798  3 Ti 2.01, 1 Li 2.02
30 O 0.6233 0.1016 0.6083  3 Ti 2.01-2.04, 1 Li 2.02
31 O 0.9479 0.3266 0.5335  3 Ti 2.01-2.02, 1 Li 2.02
32 O 0.9771 0.8336 0.5473  1 Li 2.01, 3 Ti 2.01-2.02
33 O 0.6912 0.2630 0.4054  3 Ti 2.01-2.02, 1 Li 2.02
34 O 0.2630 0.4054 0.6912  3 Ti 2.01-2.02, 1 Li 2.02
35 O 0.1240 0.1240 0.1240  3 Ti 1.97
36 O 0.1016 0.6083 0.6233  3 Ti 2.01-2.04, 1 Li 2.02
37 O 0.5473 0.9771 0.8336  1 Li 2.01, 3 Ti 2.01-2.02
38 O 0.3777 0.1847 0.2489  1 Li 2.01, 3 Ti 2.01-2.02
39 O 0.7998 0.0428 0.9618  3 Ti 1.96-1.97
40 O 0.6083 0.6233 0.1016  3 Ti 2.01-2.04, 1 Li 2.02
41 O 0.1847 0.2489 0.3777  1 Li 2.01, 3 Ti 2.01-2.02
42 O 0.2448 0.8945 0.1953  3 Ti 2.01-2.02, 1 Li 2.01
43 O 0.3235 0.0525 0.9586  1 Li 2.01, 3 Ti 2.01-2.02
44 O 0.7516 0.9093 0.6722  1 Li 2.01, 3 Ti 2.01-2.02
45 O 0.4665 0.3381 0.5306  3 Ti 2.01-2.02, 1 Li 2.02
46 O 0.7364 0.8798 0.1657  3 Ti 2.01, 1 Li 2.02
47 O 0.9586 0.3235 0.0525  1 Li 2.01, 3 Ti 2.01-2.02
48 O 0.1058 0.0911 0.6117  1 Li 2.01, 3 Ti 2.02
49 O 0.5197 0.4703 0.8199  3 Ti 2.01-2.02, 1 Li 2.02
50 O 0.4703 0.8199 0.5197  3 Ti 2.01-2.02, 1 Li 2.02
51 O 0.2344 0.8980 0.6764  3 Ti 2.01-2.02, 1 Li 2.01
52 O 0.3090 0.0228 0.4518  3 Ti 2.01-2.04, 1 Li 2.02
53 O 0.4795 0.8159 0.0375  3 Ti 2.01-2.04, 1 Li 2.04
54 O 0.6117 0.1058 0.0911  1 Li 2.01, 3 Ti 2.02
55 O 0.9618 0.7998 0.0428  3 Ti 1.96-1.97
56 O 0.6623 0.7557 0.3908  3 Ti 2.01-2.02, 1 Li 2.02
57 Ti 0.7863 0.2124 0.0706  6 O 1.96-2.04
58 Ti 0.4290 0.5007 0.6432  6 O 2.01-2.02
59 Ti 0.9997 0.6438 0.9295  6 O 1.97-2.04
60 Ti 0.2841 0.2135 0.0717  6 O 1.97-2.04
61 Ti 0.1437 0.9282 0.5002  6 O 2.01-2.02
62 Ti 0.7850 0.2135 0.5704  6 O 2.01-2.02
63 Ti 0.5007 0.6432 0.4290  6 O 2.01-2.02
64 Ti 0.0706 0.7863 0.2124  6 O 1.96-2.04
65 Ti 0.6438 0.9295 0.9997  6 O 1.97-2.04
66 Ti 0.8571 0.3581 0.3568  6 O 2.01-2.02
67 Ti 0.7870 0.7154 0.0708  6 O 1.97-2.04
68 Ti 0.4991 0.6433 0.9295  6 O 2.01-2.02
69 Ti 0.0717 0.2841 0.2135  6 O 1.97-2.04
70 Ti 0.9295 0.4991 0.6433  6 O 2.01-2.02
71 Ti 0.2124 0.0706 0.7863  6 O 1.96-2.04
72 Ti 0.2135 0.5704 0.7850  6 O 2.01-2.02
73 Ti 0.5704 0.7850 0.2135  6 O 2.01-2.02
74 Ti 0.0708 0.7870 0.7154  6 O 1.97-2.04
75 Ti 0.9282 0.5002 0.1437  6 O 2.01-2.02
76 Ti 0.6433 0.9295 0.4991  6 O 2.01-2.02
77 Ti 0.7154 0.0708 0.7870  6 O 1.97-2.04
78 Ti 0.9295 0.9997 0.6438  6 O 1.97-2.04
79 Ti 0.3581 0.3568 0.8571  6 O 2.01-2.02
80 Ti 0.3573 0.3573 0.3573  6 O 2.01-2.02
81 Ti 0.6432 0.4290 0.5007  6 O 2.01-2.02
82 Ti 0.2135 0.0717 0.2841  6 O 1.97-2.04
83 Ti 0.3568 0.8571 0.3581  6 O 2.01-2.02
84 Ti 0.5002 0.1437 0.9282  6 O 2.01-2.02
85 Li 0.7344 0.7344 0.7344  4 O 2.01-2.04
86 Li 0.2678 0.5536 0.1252  4 O 2.01-2.02
87 Li 0.0173 0.3009 0.8759  4 O 2.01-2.04
88 Li 0.4109 0.8395 0.6967  4 O 2.01-2.02
89 Li 0.1252 0.2678 0.5536  4 O 2.01-2.02
90 Li 0.3009 0.8759 0.0173  4 O 2.01-2.04
91 Li 0.1604 0.5892 0.4461  4 O 2.02
92 Li 0.8395 0.6967 0.4109  4 O 2.01-2.02
93 Li 0.8759 0.0173 0.3009  4 O 2.01-2.04
94 Li 0.4461 0.1604 0.5892  4 O 2.02
95 Li 0.6967 0.4109 0.8395  4 O 2.01-2.02
96 Li 0.5892 0.4461 0.1604  4 O 2.02
97 Li 0.5536 0.1252 0.2678  4 O 2.01-2.02

Summary:
- Space group: R3 (146)
- E: -800.34 eV per formula unit

***

Entry 2:
# ReClF3

A relaxed structure of ReClF3 (PBE, Alexandria).

Lattice parameters (Å, degrees): 4.1116 4.1116 4.1116 90.00 90.00 90.00
Closest atoms and distances in Å follow each position.
Sites, in units of the cell vectors:
1 F 0.5000 0.0000 0.0000  2 Re 2.06
2 F 0.0000 0.0000 0.5000  2 Re 2.06
3 F 0.0000 0.5000 0.0000  2 Re 2.06
4 Re 0.0000 0.0000 0.0000  6 F 2.06
5 Cl 0.5000 0.5000 0.5000  12 F 2.91

Summary:
- Space group: Pm-3m (221)
- E above lowest polymorph: 616.6 meV per atom
- E: -24.51 eV per formula unit

***

Entry 3:
# Li3Ga5

A relaxed structure of Li3Ga5 (PBE, Alexandria).

Lattice parameters (Å, degrees): 3.9446 5.7526 5.7526 88.82 90.00 90.00
Closest atoms and distances in Å follow each position.
Sites, in units of the cell vectors:
1 Li 0.5000 0.7567 0.2433  10 Ga 2.78-2.89, 2 Li 2.86
2 Li 0.5000 0.2433 0.7567  10 Ga 2.78-2.89, 2 Li 2.86
3 Li 0.0000 0.5000 0.5000  8 Ga 2.79-2.88, 4 Li 2.86
4 Ga 0.0000 0.5000 0.0000  6 Ga 2.82-2.88, 6 Li 2.85-2.88
5 Ga 0.5000 0.2594 0.2594  6 Li 2.79-2.89, 6 Ga 2.82-2.90
6 Ga 0.5000 0.7406 0.7406  6 Li 2.79-2.89, 6 Ga 2.82-2.90
7 Ga 0.0000 0.0000 0.0000  4 Li 2.78, 8 Ga 2.88-2.90
8 Ga 0.0000 0.0000 0.5000  6 Ga 2.82-2.88, 6 Li 2.85-2.88

Summary:
- Space group: Cmmm (65)
- E above lowest polymorph: 0.0 meV per atom
- Formation enthalpy at 0 K: -0.241 eV/atom
- E: -22.80 eV per formula unit

***

> What is the E in the third record?

-22.80 eV per formula unit